[1]
Entry from the Alexandria database: an optimized crystal structure of ZnPtAu14 (PBE).

## Properties
The size of the total moment is 0.000 μB/atom. For the total energy, the calculation gives -53.584 eV/cell. The space-group type is Amm2, No. 38. The calculation puts the formation enthalpy at 0 K at -0.024 eV/atom.

Unit cell a=9.6053 b=5.7739 c=5.7739 alpha=62.36 beta=90.00 gamma=90.00
With the nearest neighbours (Å) after each atom.
Atoms (fractional coordinates):
Zn (0.0000, 0.0000, 0.0000)  10 Au 2.85-2.94, 2 Pt 2.99
Pt (0.0000, 0.5004, 0.5004)  10 Au 2.86-2.95, 2 Zn 2.99
Au (0.0000, 0.0019, 0.5034)  2 Zn 2.86-2.91, 2 Pt 2.87-2.90, 8 Au 2.90-3.00
Au (0.0000, 0.5034, 0.0019)  2 Zn 2.86-2.91, 2 Pt 2.87-2.90, 8 Au 2.90-3.00
Au (0.2419, 0.3213, 0.8262)  1 Zn 2.85, 1 Pt 2.86, 10 Au 2.87-3.02
Au (0.2419, 0.8262, 0.3213)  1 Zn 2.85, 1 Pt 2.86, 10 Au 2.87-3.02
Au (0.2475, 0.8254, 0.8254)  11 Au 2.87-2.99, 1 Zn 2.94
Au (0.2495, 0.3256, 0.3256)  11 Au 2.88-2.99, 1 Pt 2.95
Au (0.5000, 0.1510, 0.1510)  12 Au 2.87-2.99
Au (0.5000, 0.1507, 0.6536)  12 Au 2.87-3.01
Au (0.5000, 0.6507, 0.6507)  12 Au 2.88-3.00
Au (0.5000, 0.6536, 0.1507)  12 Au 2.87-3.01
Au (0.7505, 0.3256, 0.3256)  11 Au 2.88-2.99, 1 Pt 2.95
Au (0.7525, 0.8254, 0.8254)  11 Au 2.87-2.99, 1 Zn 2.94
Au (0.7581, 0.3213, 0.8262)  1 Zn 2.85, 1 Pt 2.86, 10 Au 2.87-3.02
Au (0.7581, 0.8262, 0.3213)  1 Zn 2.85, 1 Pt 2.86, 10 Au 2.87-3.02

=====

[2]
Entry from the Alexandria database: an optimized crystal structure of NaAs2SeBr (PBE).

## Properties
The size of the total moment is 0.000 μB/atom. For the total energy, the calculation gives -11.354 eV/cell. The space-group type is P4/mmm, No. 123. The value obtained for the energy above the most stable polymorph in this dataset is 712 meV/atom.

Unit cell a=5.2942 b=5.2942 c=4.8811 alpha=90.00 beta=90.00 gamma=90.00
With the nearest neighbours (Å) after each atom.
Atoms (fractional coordinates):
Na (0.0000, 0.0000, 0.0000)  2 Br 2.44, 4 As 2.65
As (0.0000, 0.5000, 0.0000)  2 Na 2.65
As (0.5000, 0.0000, 0.0000)  2 Na 2.65
Se (0.5000, 0.5000, 0.5000)  8 As 3.60, 4 Br 3.74
Br (0.0000, 0.0000, 0.5000)  2 Na 2.44

=====

[3]
Entry from the Alexandria database: an optimized crystal structure of CaCd2Cu (PBE).

## Properties
The size of the total moment is 0.000 μB/atom. For the total energy, the calculation gives -33.655 eV/cell. The space-group type is F-43m, No. 216. The calculation puts the formation enthalpy at 0 K at -0.121 eV/atom.

Unit cell a=7.0307 b=7.0307 c=7.0307 alpha=90.00 beta=90.00 gamma=90.00
With the nearest neighbours (Å) after each atom.
Atoms (fractional coordinates):
Ca (0.0000, 0.0000, 0.0000)  4 Cd 3.04, 4 Cu 3.04
Ca (0.0000, 0.5000, 0.5000)  4 Cd 3.04, 4 Cu 3.04
Ca (0.5000, 0.0000, 0.5000)  4 Cd 3.04, 4 Cu 3.04
Ca (0.5000, 0.5000, 0.0000)  4 Cd 3.04, 4 Cu 3.04
Cd (0.0000, 0.0000, 0.5000)  4 Cu 3.04, 4 Cd 3.04
Cd (0.0000, 0.5000, 0.0000)  4 Cu 3.04, 4 Cd 3.04
Cd (0.2500, 0.2500, 0.2500)  4 Cd 3.04, 4 Ca 3.04
Cd (0.2500, 0.7500, 0.7500)  4 Cd 3.04, 4 Ca 3.04
Cd (0.5000, 0.0000, 0.0000)  4 Cu 3.04, 4 Cd 3.04
Cd (0.5000, 0.5000, 0.5000)  4 Cu 3.04, 4 Cd 3.04
Cd (0.7500, 0.2500, 0.7500)  4 Cd 3.04, 4 Ca 3.04
Cd (0.7500, 0.7500, 0.2500)  4 Cd 3.04, 4 Ca 3.04
Cu (0.2500, 0.2500, 0.7500)  4 Cd 3.04, 4 Ca 3.04
Cu (0.2500, 0.7500, 0.2500)  4 Cd 3.04, 4 Ca 3.04
Cu (0.7500, 0.2500, 0.2500)  4 Cd 3.04, 4 Ca 3.04
Cu (0.7500, 0.7500, 0.7500)  4 Cd 3.04, 4 Ca 3.04

=====

[4]
Entry from the Alexandria database: an optimized crystal structure of Tb3ErIr (PBE).

## Properties
The size of the total moment is 0.001 μB/atom. For the total energy, the calculation gives -28.395 eV/cell. The space-group type is Pm-3m, No. 221. The calculation puts the formation enthalpy at 0 K at -0.216 eV/atom. The value obtained for the energy above the most stable polymorph in this dataset is 108 meV/atom.

Unit cell a=5.4447 b=5.4447 c=5.4447 alpha=90.00 beta=90.00 gamma=90.00
With the nearest neighbours (Å) after each atom.
Atoms (fractional coordinates):
Tb (0.0000, 0.0000, 0.5000)  2 Ir 2.72
Tb (0.0000, 0.5000, 0.0000)  2 Ir 2.72
Tb (0.5000, 0.0000, 0.0000)  2 Ir 2.72
Er (0.5000, 0.5000, 0.5000)  12 Tb 3.85
Ir (0.0000, 0.0000, 0.0000)  6 Tb 2.72

=====

[5]
Entry from the Alexandria database: an optimized crystal structure of NiTeMo3 (PBE).

## Properties
The size of the total moment is 0.201 μB/atom. For the total energy, the calculation gives -35.137 eV/cell. The space-group type is Pm-3m, No. 221. The value obtained for the energy above the most stable polymorph in this dataset is 0 meV/atom.

Unit cell a=4.5576 b=4.5576 c=4.5576 alpha=90.00 beta=90.00 gamma=90.00
With the nearest neighbours (Å) after each atom.
Atoms (fractional coordinates):
Ni (0.0000, 0.0000, 0.0000)  6 Mo 2.28
Te (0.5000, 0.5000, 0.5000)  12 Mo 3.22
Mo (0.0000, 0.0000, 0.5000)  2 Ni 2.28
Mo (0.0000, 0.5000, 0.0000)  2 Ni 2.28
Mo (0.5000, 0.0000, 0.0000)  2 Ni 2.28

=====

[6]
Entry from the Alexandria database: an optimized crystal structure of Pm2DyZn (PBE).

## Properties
The size of the total moment is 0.000 μB/atom. For the total energy, the calculation gives -60.294 eV/cell. The space-group type is F-43m, No. 216. The calculation puts the formation enthalpy at 0 K at 0.076 eV/atom. The value obtained for the energy above the most stable polymorph in this dataset is 232 meV/atom.

Unit cell a=7.6607 b=7.6607 c=7.6607 alpha=90.00 beta=90.00 gamma=90.00
With the nearest neighbours (Å) after each atom.
Atoms (fractional coordinates):
Pm (0.0000, 0.0000, 0.0000)  4 Dy 3.32, 4 Pm 3.32
Pm (0.0000, 0.5000, 0.5000)  4 Dy 3.32, 4 Pm 3.32
Pm (0.2500, 0.2500, 0.2500)  4 Pm 3.32, 4 Zn 3.32
Pm (0.2500, 0.7500, 0.7500)  4 Pm 3.32, 4 Zn 3.32
Pm (0.5000, 0.0000, 0.5000)  4 Dy 3.32, 4 Pm 3.32
Pm (0.5000, 0.5000, 0.0000)  4 Dy 3.32, 4 Pm 3.32
Pm (0.7500, 0.2500, 0.7500)  4 Pm 3.32, 4 Zn 3.32
Pm (0.7500, 0.7500, 0.2500)  4 Pm 3.32, 4 Zn 3.32
Dy (0.2500, 0.2500, 0.7500)  4 Pm 3.32, 4 Zn 3.32
Dy (0.2500, 0.7500, 0.2500)  4 Pm 3.32, 4 Zn 3.32
Dy (0.7500, 0.2500, 0.2500)  4 Pm 3.32, 4 Zn 3.32
Dy (0.7500, 0.7500, 0.7500)  4 Pm 3.32, 4 Zn 3.32
Zn (0.0000, 0.0000, 0.5000)  4 Pm 3.32, 4 Dy 3.32
Zn (0.0000, 0.5000, 0.0000)  4 Pm 3.32, 4 Dy 3.32
Zn (0.5000, 0.0000, 0.0000)  4 Pm 3.32, 4 Dy 3.32
Zn (0.5000, 0.5000, 0.5000)  4 Pm 3.32, 4 Dy 3.32

=====

[7]
Entry from the Alexandria database: an optimized crystal structure of La2PrY6Er2 (PBE).

## Properties
The size of the total moment is 0.000 μB/atom. For the total energy, the calculation gives -60.685 eV/cell. The space-group type is C2/m, No. 12. The calculation puts the formation enthalpy at 0 K at 0.169 eV/atom.

Unit cell a=6.1579 b=6.1579 c=11.5753 alpha=90.53 beta=90.53 gamma=119.27
With the nearest neighbours (Å) after each atom.
Atoms (fractional coordinates):
La (0.1750, 0.8250, 0.0000)  3 La 3.50-3.72, 6 Y 3.53-3.63
La (0.8250, 0.1750, 0.0000)  3 La 3.50-3.72, 6 Y 3.53-3.63
Pr (0.5000, 0.5000, 0.5000)  6 Y 3.51-3.54, 6 Er 3.55-3.58
Y (0.1564, 0.4885, 0.2541)  1 Pr 3.51, 2 Er 3.51-3.52, 6 Y 3.53-3.60, 2 La 3.53-3.58
Y (0.1820, 0.1820, 0.7508)  1 Pr 3.54, 6 Y 3.55-3.60, 2 Er 3.56, 2 La 3.63
Y (0.4885, 0.1564, 0.2541)  1 Pr 3.51, 2 Er 3.51-3.52, 6 Y 3.53-3.60, 2 La 3.53-3.58
Y (0.5115, 0.8436, 0.7459)  1 Pr 3.51, 2 Er 3.51-3.52, 6 Y 3.53-3.60, 2 La 3.53-3.58
Y (0.8180, 0.8180, 0.2492)  1 Pr 3.54, 6 Y 3.55-3.60, 2 Er 3.56, 2 La 3.63
Y (0.8436, 0.5115, 0.7459)  1 Pr 3.51, 2 Er 3.51-3.52, 6 Y 3.53-3.60, 2 La 3.53-3.58
Er (0.1656, 0.8344, 0.5000)  6 Y 3.51-3.56, 3 Er 3.52-3.59, 3 Pr 3.55-3.58
Er (0.8344, 0.1656, 0.5000)  6 Y 3.51-3.56, 3 Er 3.52-3.59, 3 Pr 3.55-3.58

=====

[8]
Entry from the Alexandria database: an optimized crystal structure of Pr3Zn6Ga5 (PBE).

## Properties
The size of the total moment is 0.000 μB/atom. For the total energy, the calculation gives -86.836 eV/cell. The space-group type is Pmmn, No. 59. The calculation puts the formation enthalpy at 0 K at -0.450 eV/atom.

Unit cell a=4.3599 b=12.9291 c=9.7713 alpha=90.00 beta=90.00 gamma=90.00
With the nearest neighbours (Å) after each atom.
Atoms (fractional coordinates):
Pr (0.2500, 0.0637, 0.2473)  7 Zn 3.17-3.35, 7 Ga 3.17-3.54
Pr (0.2500, 0.4363, 0.2473)  7 Zn 3.17-3.35, 7 Ga 3.17-3.54
Pr (0.2500, 0.7500, 0.2498)  6 Ga 3.23-3.24, 10 Zn 3.25-3.55
Pr (0.7500, 0.2500, 0.7502)  6 Ga 3.23-3.24, 10 Zn 3.25-3.55
Pr (0.7500, 0.5637, 0.7527)  7 Zn 3.17-3.35, 7 Ga 3.17-3.54
Pr (0.7500, 0.9363, 0.7527)  7 Zn 3.17-3.35, 7 Ga 3.17-3.54
Zn (0.2500, 0.0855, 0.6138)  4 Ga 2.55-2.69, 1 Zn 2.58
Zn (0.2500, 0.2500, 0.0329)  2 Ga 2.58
Zn (0.2500, 0.2500, 0.4636)  2 Zn 2.58, 4 Ga 2.82
Zn (0.2500, 0.4145, 0.6138)  4 Ga 2.55-2.69, 1 Zn 2.58
Zn (0.2500, 0.6005, 0.9827)  4 Ga 2.59-2.82
Zn (0.2500, 0.8995, 0.9827)  4 Ga 2.59-2.82
Zn (0.7500, 0.1005, 0.0173)  4 Ga 2.59-2.82
Zn (0.7500, 0.3995, 0.0173)  4 Ga 2.59-2.82
Zn (0.7500, 0.5855, 0.3862)  4 Ga 2.55-2.69, 1 Zn 2.58
Zn (0.7500, 0.7500, 0.5364)  2 Zn 2.58, 4 Ga 2.82
Zn (0.7500, 0.7500, 0.9671)  2 Ga 2.58
Zn (0.7500, 0.9145, 0.3862)  4 Ga 2.55-2.69, 1 Zn 2.58
Ga (0.2500, 0.0906, 0.8748)  5 Zn 2.55-2.69
Ga (0.2500, 0.4094, 0.8748)  5 Zn 2.55-2.69
Ga (0.2500, 0.6116, 0.5252)  5 Zn 2.59-2.82
Ga (0.2500, 0.7500, 0.7720)  4 Zn 2.82-2.90, 2 Ga 3.00
Ga (0.2500, 0.8884, 0.5252)  5 Zn 2.59-2.82
Ga (0.7500, 0.1116, 0.4748)  5 Zn 2.59-2.82
Ga (0.7500, 0.2500, 0.2280)  4 Zn 2.82-2.90, 2 Ga 3.00
Ga (0.7500, 0.3884, 0.4748)  5 Zn 2.59-2.82
Ga (0.7500, 0.5906, 0.1252)  5 Zn 2.55-2.69
Ga (0.7500, 0.9094, 0.1252)  5 Zn 2.55-2.69